1.
## PrSm12Co6 (PBE)

Data for crystalline PrSm12Co6 at its relaxed geometry.

Values from the calculation:
DFT formation energy: -0.08 eV per atom
Calculated total energy: -5.5531 eV/atom

Unit cell a=9.987 b=9.987 c=9.987 alpha=90.00 beta=90.00 gamma=90.00
Space group Im-3 (No. 204)
Unique sites:
Pr  0.000  0.000  0.000
Sm  0.000  0.195  0.310
Co  0.000  0.388  0.500

***

2.
## Sc5CoPd4 (PBE)

Data for crystalline Sc5CoPd4 at its relaxed geometry.

Values from the calculation:
DFT formation energy: -0.79 eV per atom
Calculated total energy: -6.7460 eV/atom

Unit cell a=3.226 b=3.226 c=16.857 alpha=90.00 beta=90.00 gamma=90.00
Space group P4/mmm (No. 123)
Unique sites:
Sc  0.000  0.000  0.000
Sc  0.000  0.000  0.205
Sc  0.000  0.000  0.409
Co  0.500  0.500  0.500
Pd  0.500  0.500  0.103
Pd  0.500  0.500  0.305

***

3.
## Hg2PRh (PBE)

Data for crystalline Hg2PRh at its relaxed geometry.

Values from the calculation:
DFT formation energy: 0.42 eV per atom
Calculated total energy: -2.9175 eV/atom

Unit cell a=5.531 b=8.376 c=3.156 alpha=90.00 beta=90.00 gamma=90.00
Space group Cmmm (No. 65)
Unique sites:
Hg  0.250  0.250  0.000
P  0.000  0.000  0.500
Rh  0.000  0.500  0.500

***

4.
## InSn2Ru (PBE)

Data for crystalline InSn2Ru at its relaxed geometry.

Values from the calculation:
DFT formation energy: 0.04 eV per atom
Calculated total energy: -4.9687 eV/atom

Unit cell a=3.3275 b=3.3275 c=29.1417 alpha=90.00 beta=90.00 gamma=120.00
Space group R-3m (No. 166, hexagonal axes)
Unique sites:
In  0.0000  0.0000  0.0000
Sn  0.0000  0.0000  0.1013
Ru  0.0000  0.0000  0.5000

***

5.
## TbDy3Ho6Er2 (PBE)

Data for crystalline TbDy3Ho6Er2 at its relaxed geometry.

Values from the calculation:
DFT formation energy: 0.02 eV per atom
Calculated total energy: -4.5673 eV/atom

Unit cell a=6.100 b=10.551 c=11.664 alpha=90.00 beta=99.98 gamma=90.00
Space group C2/m (No. 12)
Unique sites:
Tb  0.000  0.000  0.000
Dy  0.000  0.167  0.500
Dy  0.000  0.500  0.500
Ho  0.250  0.000  0.750
Ho  0.250  0.167  0.250
Er  0.000  0.333  0.000

***

6.
## Tb8As3PS4 (PBE)

Data for crystalline Tb8As3PS4 at its relaxed geometry.

Values from the calculation:
Calculated total energy: -6.3772 eV/atom

Unit cell a=8.0707 b=8.0707 c=19.6263 alpha=90.00 beta=90.00 gamma=120.00
Space group R-3m (No. 166, hexagonal axes)
Unique sites:
Tb  0.0000  0.0000  0.2492
Tb  0.0056  0.5028  0.7495
As  0.0000  0.5000  0.0000
P  0.0000  0.0000  0.0000
S  0.0000  0.0000  0.5000
S  0.0000  0.5000  0.5000

***

7.
## LiTi2W (PBE)

Data for crystalline LiTi2W at its relaxed geometry.

Values from the calculation:
DFT formation energy: 0.16 eV per atom
Calculated total energy: -7.5025 eV/atom

Unit cell a=3.220 b=3.220 c=6.491 alpha=90.00 beta=90.00 gamma=90.00
Space group P4/mmm (No. 123)
Unique sites:
Li  0.000  0.000  0.000
Ti  0.500  0.500  0.277
W  0.000  0.000  0.500

***

8.
## LaHo2Tm2 (PBE)

Data for crystalline LaHo2Tm2 at its relaxed geometry.

Values from the calculation:
DFT formation energy: 0.08 eV per atom
Calculated total energy: -4.5296 eV/atom

Unit cell a=9.405 b=9.405 c=3.696 alpha=90.00 beta=90.00 gamma=90.00
Space group P4/mbm (No. 127)
Unique sites:
La  0.000  0.000  0.000
Ho  0.124  0.376  0.000
Tm  0.171  0.671  0.500

***

9.
## ThIn2Bi (PBE)

Data for crystalline ThIn2Bi at its relaxed geometry.

Values from the calculation:
DFT formation energy: 0.19 eV per atom
Calculated total energy: -4.0046 eV/atom

Unit cell a=3.4331 b=3.4331 c=36.8302 alpha=90.00 beta=90.00 gamma=120.00
Space group R-3m (No. 166, hexagonal axes)
Unique sites:
Th  0.0000  0.0000  0.0000
In  0.0000  0.0000  0.0893
Bi  0.0000  0.0000  0.5000

***

10.
## Ca2InPd2 (PBE)

Data for crystalline Ca2InPd2 at its relaxed geometry.

Values from the calculation:
DFT formation energy: -0.39 eV per atom
Calculated total energy: -3.8170 eV/atom

Unit cell a=3.811 b=3.811 c=17.476 alpha=90.00 beta=90.00 gamma=90.00
Space group I4/mmm (No. 139)
Unique sites:
Ca  0.000  0.000  0.121
In  0.000  0.000  0.500
Pd  0.000  0.500  0.250

***

Table of total moment (μB/f.u.), in record order: 0.001, 0.373, 0.000, 0.216, 0.001, 0.000, 0.000, 0.000, 0.000, 0.000